Pm3Nd2Sm after structural relaxation. Source: Alexandria via LeMat-Bulk, functional PBE.

abc: 6.687 3.499 12.619
angles: 97.96 133.92 90.00
Fractional positions:
Pm 0.500 0.000 0.000
Pm 0.799 0.829 0.658
Pm 0.201 0.171 0.342
Nd 0.674 0.662 0.324
Nd 0.326 0.338 0.676
Sm 0.000 0.000 0.000

**Offset from the most stable computed form**: 0 meV per atom
**Mass density**: 6.95 Mg/m³
**ΔH_f (0 K)**: 0.142 eV per atom
**Calculated total energy**: -4.609 eV/atom
**Space-group type**: C2/m, No. 12



AsIr2Rh after structural relaxation. Source: Alexandria via LeMat-Bulk, functional PBE.

abc: 8.539 8.539 8.539
angles: 19.29 19.29 19.29
Fractional positions:
As 0.750 0.750 0.750
Ir 0.004 0.004 0.004
Ir 0.496 0.496 0.496
Rh 0.250 0.250 0.250

**Mass density**: 15.71 Mg/m³
**ΔH_f (0 K)**: 0.162 eV per atom
**Calculated total energy**: -7.269 eV/atom
**Space-group type**: R-3m, No. 166